[1]
! HfPaCoRu, relaxed, DFT PBE; values from VASP
! **Formation energy from the elements**: -6.757 kcal/mol of atoms
! **Space-group type**: No. 216
&SYSTEM
  ibrav = 0, nat = 4, ntyp = 4
/
ATOMIC_SPECIES
Hf 178.49 Hf.upf
Pa 231.04 Pa.upf
Co 58.93 Co.upf
Ru 101.07 Ru.upf
CELL_PARAMETERS angstrom
0.000 3.302 3.302
3.302 0.000 3.302
3.302 3.302 0.000
ATOMIC_POSITIONS crystal
Hf 0.000 0.000 0.000
Pa 0.500 0.500 0.500
Co 0.250 0.250 0.250
Ru 0.750 0.750 0.750



[2]
! HfSc2PaCo2, relaxed, DFT PBE; values from VASP
! **Formation energy from the elements**: -3.917 kcal/mol of atoms
! **Space-group type**: No. 72
&SYSTEM
  ibrav = 0, nat = 12, ntyp = 4
/
ATOMIC_SPECIES
Hf 178.49 Hf.upf
Sc 44.96 Sc.upf
Pa 231.04 Pa.upf
Co 58.93 Co.upf
CELL_PARAMETERS angstrom
-3.223 5.845 3.304
3.223 -5.845 3.304
3.223 5.845 -3.304
ATOMIC_POSITIONS crystal
Hf 0.250 0.250 0.000
Hf 0.750 0.750 0.000
Sc 0.196 0.216 0.412
Sc 0.304 0.716 0.020
Sc 0.696 0.284 0.980
Sc 0.804 0.784 0.588
Pa 0.250 0.750 0.500
Pa 0.750 0.250 0.500
Co 0.089 0.742 0.831
Co 0.411 0.242 0.654
Co 0.589 0.758 0.346
Co 0.911 0.258 0.169



[3]
! HfPaCo5Si2, relaxed, DFT PBE; values from VASP
! **Space-group type**: No. 123
! **Formation energy from raw total energies**: -526 meV per atom
&SYSTEM
  ibrav = 0, nat = 9, ntyp = 4
/
ATOMIC_SPECIES
Hf 178.49 Hf.upf
Pa 231.04 Pa.upf
Co 58.93 Co.upf
Si 28.09 Si.upf
CELL_PARAMETERS angstrom
3.816 0.000 0.000
0.000 3.816 0.000
0.000 0.000 8.406
ATOMIC_POSITIONS crystal
Hf 0.000 0.000 0.000
Pa 0.000 0.000 0.500
Co 0.000 0.500 0.274
Co 0.000 0.500 0.726
Co 0.500 0.000 0.274
Co 0.500 0.000 0.726
Co 0.500 0.500 0.500
Si 0.500 0.500 0.138
Si 0.500 0.500 0.862



[4]
! Hf2CoPb, relaxed, DFT PBE; values from VASP
! **Formation energy from the elements**: -2.307 kcal/mol of atoms
! **Space-group type**: No. 166
&SYSTEM
  ibrav = 0, nat = 4, ntyp = 3
/
ATOMIC_SPECIES
Hf 178.49 Hf.upf
Co 58.93 Co.upf
Pb 207.20 Pb.upf
CELL_PARAMETERS angstrom
1.743 1.006 8.124
-1.743 1.006 8.124
0.000 -2.013 8.124
ATOMIC_POSITIONS crystal
Hf 0.227 0.227 0.227
Hf 0.773 0.773 0.773
Co 0.500 0.500 0.500
Pb 0.000 0.000 0.000



[5]
! Hf4CoPb, relaxed, DFT PBE; values from VASP
! **Formation energy from the elements**: -2.687 kcal/mol of atoms
! **Space-group type**: No. 15
&SYSTEM
  ibrav = 0, nat = 12, ntyp = 3
/
ATOMIC_SPECIES
Hf 178.49 Hf.upf
Co 58.93 Co.upf
Pb 207.20 Pb.upf
CELL_PARAMETERS angstrom
4.066 -6.146 0.000
4.066 6.146 0.000
-1.849 0.000 5.049
ATOMIC_POSITIONS crystal
Hf 0.067 0.715 0.935
Hf 0.190 0.354 0.647
Hf 0.285 0.933 0.565
Hf 0.354 0.190 0.147
Hf 0.646 0.810 0.853
Hf 0.715 0.067 0.435
Hf 0.810 0.646 0.353
Hf 0.933 0.285 0.065
Co 0.001 0.999 0.750
Co 0.999 0.001 0.250
Pb 0.382 0.618 0.250
Pb 0.618 0.382 0.750



[6]
! Hf2CoPb2, relaxed, DFT PBE; values from VASP
! **Formation energy from the elements**: 5.114 kcal/mol of atoms
! **Space-group type**: No. 127
&SYSTEM
  ibrav = 0, nat = 10, ntyp = 3
/
ATOMIC_SPECIES
Hf 178.49 Hf.upf
Co 58.93 Co.upf
Pb 207.20 Pb.upf
CELL_PARAMETERS angstrom
6.690 0.000 0.000
0.000 6.690 0.000
0.000 0.000 5.070
ATOMIC_POSITIONS crystal
Hf 0.166 0.334 0.000
Hf 0.334 0.834 0.000
Hf 0.666 0.166 0.000
Hf 0.834 0.666 0.000
Co 0.000 0.000 0.000
Co 0.500 0.500 0.000
Pb 0.168 0.668 0.500
Pb 0.332 0.168 0.500
Pb 0.668 0.832 0.500
Pb 0.832 0.332 0.500



no.,E (eV per cell)
1,-37.0
2,-94.7
3,-70.6
4,-31.1
5,-102.7
6,-66.6